P.
This record from Alexandria via LeMat-Bulk describes crystalline SrSb2Se4 at its relaxed geometry. The functional is PBE.

Cell: 7.129 7.129 14.201 Å, 90.00 90.00 146.05°
Positions (direct):
Sr 0.110 0.890 0.750
Sr 0.890 0.110 0.250
Sb 0.366 0.634 0.569
Sb 0.366 0.634 0.931
Sb 0.634 0.366 0.069
Sb 0.634 0.366 0.431
Se 0.000 0.000 0.000
Se 0.000 0.000 0.500
Se 0.271 0.729 0.115
Se 0.271 0.729 0.385
Se 0.448 0.552 0.750
Se 0.552 0.448 0.250
Se 0.729 0.271 0.615
Se 0.729 0.271 0.885

## Properties
- Symmetry: No. 63
- N(E_F): 0.039 states/eV/atom


Q.
This record from Alexandria via LeMat-Bulk describes crystalline SrSb2Se4 at its relaxed geometry. The functional is PBE.

Cell: 8.245 8.041 9.473 Å, 55.44 53.44 71.12°
Positions (direct):
Sr 0.000 0.000 0.000
Sr 0.250 0.250 0.250
Sb 0.148 0.611 0.609
Sb 0.611 0.148 0.632
Sb 0.618 0.641 0.639
Sb 0.641 0.618 0.102
Se 0.267 0.352 0.873
Se 0.352 0.267 0.509
Se 0.377 0.741 0.983
Se 0.487 0.856 0.287
Se 0.741 0.377 0.898
Se 0.856 0.487 0.370
Se 0.880 0.963 0.394
Se 0.963 0.880 0.763

## Properties
- Symmetry: No. 43


Pick P: it beats the second-best structure by 14 meV per atom.


P.
This record from Alexandria via LeMat-Bulk describes crystalline SrSb3Se at its relaxed geometry. The functional is PBE.

Cell: 6.025 6.025 6.025 Å, 90.00 90.00 90.00°
Positions (direct):
Sr 0.000 0.000 0.000
Sb 0.000 0.000 0.500
Sb 0.000 0.500 0.000
Sb 0.500 0.000 0.000
Se 0.500 0.500 0.500

## Properties
- Symmetry: No. 221
- N(E_F): 1.225 states/eV/atom


Q.
This record from Alexandria via LeMat-Bulk describes crystalline SrSb3Se at its relaxed geometry. The functional is PBE.

Cell: 5.497 5.497 5.497 Å, 90.00 90.00 90.00°
Positions (direct):
Sr 0.000 0.000 0.000
Sb 0.000 0.500 0.500
Sb 0.500 0.000 0.500
Sb 0.500 0.500 0.000
Se 0.500 0.500 0.500

## Properties
- Symmetry: No. 221
- N(E_F): 0.780 states/eV/atom


Pick Q: it beats the second-best structure by 1050 meV per atom.


P.
This record from Alexandria via LeMat-Bulk describes crystalline SrSbTe2Se at its relaxed geometry. The functional is PBE.

Cell: 6.089 6.089 6.337 Å, 90.00 90.00 90.00°
Positions (direct):
Sr 0.000 0.000 0.000
Sb 0.000 0.000 0.500
Te 0.000 0.500 0.000
Te 0.500 0.000 0.000
Se 0.500 0.500 0.500

## Properties
- Symmetry: No. 123
- N(E_F): 1.502 states/eV/atom


Q.
This record from Alexandria via LeMat-Bulk describes crystalline SrSbTe2Se at its relaxed geometry. The functional is PBE.

Cell: 5.554 5.554 5.489 Å, 90.00 90.00 90.00°
Positions (direct):
Sr 0.000 0.000 0.000
Sb 0.500 0.500 0.000
Te 0.000 0.500 0.500
Te 0.500 0.000 0.500
Se 0.500 0.500 0.500

## Properties
- Symmetry: No. 123
- N(E_F): 1.318 states/eV/atom


Pick Q: it beats the second-best structure by 922 meV per atom.


P.
This record from Alexandria via LeMat-Bulk describes crystalline SrSb2TeSe at its relaxed geometry. The functional is PBE.

Cell: 5.479 5.479 5.592 Å, 90.00 90.00 90.00°
Positions (direct):
Sr 0.000 0.000 0.000
Sb 0.000 0.500 0.500
Sb 0.500 0.000 0.500
Te 0.500 0.500 0.000
Se 0.500 0.500 0.500

## Properties
- Symmetry: No. 123
- N(E_F): 0.571 states/eV/atom


Q.
This record from Alexandria via LeMat-Bulk describes crystalline SrSb2TeSe at its relaxed geometry. The functional is PBE.

Cell: 6.132 6.132 5.963 Å, 90.00 90.00 90.00°
Positions (direct):
Sr 0.000 0.000 0.000
Sb 0.000 0.500 0.000
Sb 0.500 0.000 0.000
Te 0.000 0.000 0.500
Se 0.500 0.500 0.500

## Properties
- Symmetry: No. 123
- N(E_F): 1.281 states/eV/atom


Pick P: it beats the second-best structure by 968 meV per atom.


P.
This record from Alexandria via LeMat-Bulk describes crystalline Ta2SbSe at its relaxed geometry. The functional is PBE.

Cell: 4.460 4.460 6.131 Å, 101.55 101.55 43.12°
Positions (direct):
Ta 0.245 0.245 0.189
Ta 0.755 0.755 0.811
Sb 0.000 0.000 0.500
Se 0.500 0.500 0.000

## Properties
- Symmetry: No. 12
- N(E_F): 0.936 states/eV/atom


Q.
This record from Alexandria via LeMat-Bulk describes crystalline Ta2SbSe at its relaxed geometry. The functional is PBE.

Cell: 3.067 3.067 10.164 Å, 90.00 90.00 107.34°
Positions (direct):
Ta 0.000 0.000 0.000
Ta 0.500 0.500 0.216
Sb 0.500 0.500 0.784
Se 0.000 0.000 0.398

## Properties
- Symmetry: No. 35
- N(E_F): 0.330 states/eV/atom


R.
This record from Alexandria via LeMat-Bulk describes crystalline Ta2SbSe at its relaxed geometry. The functional is PBE.

Cell: 4.958 4.958 5.252 Å, 103.19 103.19 39.36°
Positions (direct):
Ta 0.000 0.000 0.000
Ta 0.744 0.744 0.286
Sb 0.250 0.250 0.784
Se 0.480 0.480 0.389

## Properties
- Symmetry: No. 8
- N(E_F): 0.480 states/eV/atom


Pick Q: it beats the second-best structure by 61 meV per atom.


P.
This record from Alexandria via LeMat-Bulk describes crystalline Ta2SbSe at its relaxed geometry. The functional is PBE.

Cell: 10.300 10.300 10.300 Å, 18.27 18.27 18.27°
Positions (direct):
Ta 0.000 0.000 0.000
Ta 0.263 0.263 0.263
Sb 0.520 0.520 0.520
Se 0.726 0.726 0.726

## Properties
- Symmetry: No. 160
- N(E_F): 0.812 states/eV/atom


Q.
This record from Alexandria via LeMat-Bulk describes crystalline Ta2SbSe at its relaxed geometry. The functional is PBE.

Cell: 3.410 4.713 5.310 Å, 90.00 90.00 90.00°
Positions (direct):
Ta 0.000 0.000 0.000
Ta 0.500 0.500 0.145
Sb 0.000 0.500 0.706
Se 0.500 0.000 0.366

## Properties
- Symmetry: No. 25
- N(E_F): 0.771 states/eV/atom


R.
This record from Alexandria via LeMat-Bulk describes crystalline Ta2SbSe at its relaxed geometry. The functional is PBE.

Cell: 4.719 4.719 4.719 Å, 60.00 60.00 60.00°
Positions (direct):
Ta 0.250 0.250 0.250
Ta 0.750 0.750 0.750
Sb 0.000 0.000 0.000
Se 0.500 0.500 0.500

## Properties
- Symmetry: No. 225
- N(E_F): 1.456 states/eV/atom


S.
This record from Alexandria via LeMat-Bulk describes crystalline Ta2SbSe at its relaxed geometry. The functional is PBE.

Cell: 4.800 4.800 4.800 Å, 60.00 60.00 60.00°
Positions (direct):
Ta 0.000 0.000 0.000
Ta 0.250 0.250 0.250
Sb 0.750 0.750 0.750
Se 0.500 0.500 0.500

## Properties
- Symmetry: No. 216
- N(E_F): 1.132 states/eV/atom


Pick P: it beats the second-best structure by 196 meV per atom.


P.
This record from Alexandria via LeMat-Bulk describes crystalline TaSb3Se at its relaxed geometry. The functional is PBE.

Cell: 5.243 5.243 5.243 Å, 90.00 90.00 90.00°
Positions (direct):
Ta 0.000 0.000 0.000
Sb 0.000 0.500 0.500
Sb 0.500 0.000 0.500
Sb 0.500 0.500 0.000
Se 0.500 0.500 0.500

## Properties
- Symmetry: No. 221
- N(E_F): 1.398 states/eV/atom


Q.
This record from Alexandria via LeMat-Bulk describes crystalline TaSb3Se at its relaxed geometry. The functional is PBE.

Cell: 5.316 5.316 5.316 Å, 90.00 90.00 90.00°
Positions (direct):
Ta 0.000 0.000 0.000
Sb 0.000 0.000 0.500
Sb 0.000 0.500 0.000
Sb 0.500 0.000 0.000
Se 0.500 0.500 0.500

## Properties
- Symmetry: No. 221
- N(E_F): 0.960 states/eV/atom


Pick Q: it beats the second-best structure by 807 meV per atom.


P.
This record from Alexandria via LeMat-Bulk describes crystalline Tc2SbSe at its relaxed geometry. The functional is PBE.

Cell: 4.591 4.591 5.620 Å, 101.41 101.41 39.61°
Positions (direct):
Tc 0.000 0.000 0.000
Tc 0.735 0.735 0.341
Sb 0.241 0.241 0.763
Se 0.453 0.453 0.319

## Properties
- Symmetry: No. 8
- N(E_F): 0.585 states/eV/atom


Q.
This record from Alexandria via LeMat-Bulk describes crystalline Tc2SbSe at its relaxed geometry. The functional is PBE.

Cell: 3.104 4.261 5.335 Å, 90.00 90.00 90.00°
Positions (direct):
Tc 0.000 0.000 0.000
Tc 0.500 0.000 0.500
Sb 0.000 0.500 0.500
Se 0.500 0.500 0.000

## Properties
- Symmetry: No. 47
- N(E_F): 1.165 states/eV/atom


Pick P: it beats the second-best structure by 487 meV per atom.